(1)
VASP calculation (PBE) on a geometry-optimized Rb2TeP2 structure.

Structure (CIF):
```
data_Rb2TeP2
_chemical_formula_sum 'Rb4 Te2 P4'
_space_group_name_H-M_alt 'P 4/m b m'
_space_group_IT_number 127
_space_group_name_Hall '-P 4 2ab'
_cell_length_a 9.556
_cell_length_b 9.556
_cell_length_c 3.807
_cell_angle_alpha 90.00
_cell_angle_beta 90.00
_cell_angle_gamma 90.00
loop_
_atom_site_label
_atom_site_type_symbol
_atom_site_fract_x
_atom_site_fract_y
_atom_site_fract_z
Rb1 Rb 0.214 0.286 0.000
Te1 Te 0.000 0.000 0.500
P1 P 0.073 0.573 0.500
```

Summary:
Fermi-level density of states: 2.80 states/eV/cell
Uncorrected formation energy: -0.31 eV/atom

(2)
VASP calculation (PBE) on a geometry-optimized Tb4Er3Bi4 structure.

Structure (CIF):
```
data_Tb4Er3Bi4
_chemical_formula_sum 'Tb8 Er6 Bi8'
_space_group_name_H-M_alt 'I m m m'
_space_group_IT_number 71
_space_group_name_Hall '-I 2 2'
_cell_length_a 4.031
_cell_length_b 9.315
_cell_length_c 17.883
_cell_angle_alpha 90.00
_cell_angle_beta 90.00
_cell_angle_gamma 90.00
loop_
_atom_site_label
_atom_site_type_symbol
_atom_site_fract_x
_atom_site_fract_y
_atom_site_fract_z
Tb1 Tb 0.000 0.183 0.165
Er1 Er 0.000 0.000 0.399
Er2 Er 0.000 0.500 0.500
Bi1 Bi 0.000 0.296 0.000
Bi2 Bi 0.000 0.500 0.235
```

Summary:
Energy relative to the elements: -543 kJ/mol of formula units
Fermi-level density of states: 25.88 states/eV/cell

(3)
VASP calculation (PBE) on a geometry-optimized Ti2InAg structure.

Structure (CIF):
```
data_Ti2InAg
_chemical_formula_sum 'Ti2 In1 Ag1'
_space_group_name_H-M_alt 'P 4/m m m'
_space_group_IT_number 123
_space_group_name_Hall '-P 4 2'
_cell_length_a 4.119
_cell_length_b 4.119
_cell_length_c 4.321
_cell_angle_alpha 90.00
_cell_angle_beta 90.00
_cell_angle_gamma 90.00
loop_
_atom_site_label
_atom_site_type_symbol
_atom_site_fract_x
_atom_site_fract_y
_atom_site_fract_z
Ti1 Ti 0.000 0.500 0.000
In1 In 0.000 0.000 0.500
Ag1 Ag 0.500 0.500 0.500
```

Summary:
Energy relative to the elements: -20 kJ/mol of formula units
Fermi-level density of states: 3.39 states/eV/cell

(4)
VASP calculation (PBE) on a geometry-optimized TaBe2Ir structure.

Structure (CIF):
```
data_TaBe2Ir
_chemical_formula_sum 'Ta2 Be4 Ir2'
_space_group_name_H-M_alt 'A m m 2'
_space_group_IT_number 38
_cell_length_a 3.692
_cell_length_b 2.897
_cell_length_c 8.956
_cell_angle_alpha 90.00
_cell_angle_beta 90.00
_cell_angle_gamma 90.00
loop_
_space_group_symop_operation_xyz
'x,y,z'
'-x,-y,z'
'-x,y,z'
'x,-y,z'
'x,y+1/2,z+1/2'
'-x,-y+1/2,z+1/2'
'-x,y+1/2,z+1/2'
'x,-y+1/2,z+1/2'
loop_
_atom_site_label
_atom_site_type_symbol
_atom_site_fract_x
_atom_site_fract_y
_atom_site_fract_z
Ta1 Ta 0.000 0.000 0.000
Be1 Be 0.000 0.000 0.727
Be2 Be 0.500 0.000 0.605
Ir1 Ir 0.500 0.000 0.317
```

Summary:
Energy relative to the elements: -159 kJ/mol of formula units
Fermi-level density of states: 3.01 states/eV/cell

(5)
VASP calculation (PBE) on a geometry-optimized HoZr3Al8 structure.

Structure (CIF):
```
data_HoZr3Al8
_chemical_formula_sum 'Ho1 Zr3 Al8'
_space_group_name_H-M_alt 'P 3 m 1'
_space_group_IT_number 156
_cell_length_a 5.3450
_cell_length_b 5.3450
_cell_length_c 8.8799
_cell_angle_alpha 90.00
_cell_angle_beta 90.00
_cell_angle_gamma 120.00
loop_
_space_group_symop_operation_xyz
'x,y,z'
'-y,x-y,z'
'-x+y,-x,z'
'-y,-x,z'
'-x+y,y,z'
'x,x-y,z'
loop_
_atom_site_label
_atom_site_type_symbol
_atom_site_fract_x
_atom_site_fract_y
_atom_site_fract_z
Ho1 Ho 0.0000 0.0000 0.0000
Zr1 Zr 0.0000 0.0000 0.3707
Zr2 Zr 0.6667 0.3333 0.5007
Zr3 Zr 0.6667 0.3333 0.8625
Al1 Al 0.1628 0.3256 0.6810
Al2 Al 0.3333 0.6667 0.4360
Al3 Al 0.3333 0.6667 0.9340
Al4 Al 0.5041 0.0082 0.1897
```

Summary:
Energy relative to the elements: -600 kJ/mol of formula units
Fermi-level density of states: 5.59 states/eV/cell

(6)
VASP calculation (PBE) on a geometry-optimized DyTmCoAu structure.

Structure (CIF):
```
data_DyTmCoAu
_chemical_formula_sum 'Dy4 Tm4 Co4 Au4'
_space_group_name_H-M_alt 'F -4 3 m'
_space_group_IT_number 216
_space_group_name_Hall 'F -4 2 3'
_cell_length_a 6.923
_cell_length_b 6.923
_cell_length_c 6.923
_cell_angle_alpha 90.00
_cell_angle_beta 90.00
_cell_angle_gamma 90.00
loop_
_atom_site_label
_atom_site_type_symbol
_atom_site_fract_x
_atom_site_fract_y
_atom_site_fract_z
Dy1 Dy 0.000 0.000 0.000
Tm1 Tm 0.000 0.000 0.500
Co1 Co 0.250 0.250 0.750
Au1 Au 0.250 0.250 0.250
```

Summary:
Energy relative to the elements: -180 kJ/mol of formula units
Fermi-level density of states: 11.83 states/eV/cell

> Which of these has the lowest Fermi-level density of states?

Rb2TeP2